No. 1
Entry from Alexandria via LeMat-Bulk: a relaxed Pr2HoZn crystal (PBE-GGA).

Properties
Offset from the most stable computed form ... 0.251 eV/atom
Total energy ... -3.76 eV/atom
E_form ... 9 kJ per mole of atoms

abc: 5.4744 5.4744 5.4687
angles: 59.97 59.97 60.00
Fractional positions:
Ho1 0.5004 0.5004 0.4989
Pr1 0.2504 0.2504 0.2488
Pr2 0.9996 0.9996 0.0012
Zn1 0.7496 0.7496 0.7512


No. 2
Entry from Alexandria via LeMat-Bulk: a relaxed PrHoZn crystal (PBE-GGA).

Properties
Offset from the most stable computed form ... 0.152 eV/atom
Total energy ... -3.59 eV/atom
E_form ... -5 kJ per mole of atoms

abc: 3.8539 5.0214 5.0214
angles: 120.00 90.00 90.00
Fractional positions:
Zn1 0.2121 0.3333 0.6667
Pr1 0.6519 0.6667 0.3333
Ho1 0.1360 0.0000 0.0000


No. 3
Entry from Alexandria via LeMat-Bulk: a relaxed PrHoZn3 crystal (PBE-GGA).

Properties
Total energy ... -2.88 eV/atom
E_form ... -23 kJ per mole of atoms

abc: 4.7021 6.2429 8.8966
angles: 111.73 105.32 90.00
Fractional positions:
Zn1 0.3800 0.1317 0.7599
Zn2 0.7841 0.6771 0.5683
Zn3 0.6200 0.8683 0.2401
Zn4 0.0644 0.9487 0.1289
Zn5 0.9356 0.0513 0.8711
Zn6 0.2159 0.3229 0.4317
Pr1 0.5772 0.3198 0.1544
Pr2 0.4228 0.6802 0.8456
Ho1 0.7996 0.2258 0.5993
Ho2 0.2004 0.7742 0.4007


No. 4
Entry from Alexandria via LeMat-Bulk: a relaxed Pr6HoZn crystal (PBE-GGA).

Properties
Total energy ... -4.29 eV/atom
E_form ... 2 kJ per mole of atoms

abc: 9.6215 8.6523 6.4744
angles: 48.05 41.99 56.26
Fractional positions:
Zn1 0.0000 0.0000 0.0000
Pr1 0.7642 0.9529 0.7087
Pr2 0.2358 0.0471 0.2913
Pr3 0.4257 0.7640 0.8573
Pr4 0.9527 0.5740 0.2374
Pr5 0.5743 0.2360 0.1427
Pr6 0.0473 0.4260 0.7626
Ho1 0.5000 0.5000 0.5000


No. 5
Entry from Alexandria via LeMat-Bulk: a relaxed PrHo2Zn4 crystal (PBE-GGA).

Properties
Total energy ... -2.85 eV/atom
E_form ... -12 kJ per mole of atoms

abc: 5.1833 5.1833 7.3588
angles: 110.62 110.62 90.00
Fractional positions:
Ho1 0.2739 0.2739 0.5478
Ho2 0.7261 0.7261 0.4522
Zn1 0.1166 0.6166 0.2333
Zn2 0.6166 0.1166 0.2333
Zn3 0.3834 0.8834 0.7667
Zn4 0.8834 0.3834 0.7667
Pr1 0.0000 0.0000 0.0000


No. 6
Entry from Alexandria via LeMat-Bulk: a relaxed PrHo4Zn crystal (PBE-GGA).

Properties
Offset from the most stable computed form ... 0.091 eV/atom
Total energy ... -4.06 eV/atom
E_form ... 0 kJ per mole of atoms

abc: 6.1877 9.0200 8.1171
angles: 114.59 100.24 111.47
Fractional positions:
Ho1 0.6285 0.0752 0.3607
Ho2 0.9652 0.8338 0.2152
Ho3 0.2500 0.6186 0.7848
Ho4 0.3715 0.9248 0.6393
Ho5 0.0348 0.1662 0.7848
Ho6 0.7500 0.3814 0.2152
Ho7 0.7679 0.7146 0.6393
Ho8 0.2321 0.2854 0.3607
Zn1 0.2496 0.9996 0.9992
Zn2 0.7504 0.0004 0.0008
Pr1 0.6481 0.3981 0.7962
Pr2 0.3519 0.6019 0.2038


No. 7
Entry from Alexandria via LeMat-Bulk: a relaxed Pr3Ho2Zn2 crystal (PBE-GGA).

Properties
Total energy ... -3.80 eV/atom
E_form ... -7 kJ per mole of atoms

abc: 3.6541 3.6196 15.6814
angles: 90.00 83.31 90.00
Fractional positions:
Pr1 0.8781 0.0000 0.2438
Pr2 0.1219 0.0000 0.7562
Pr3 0.0000 0.0000 0.0000
Zn1 0.4392 0.5000 0.1216
Zn2 0.5608 0.5000 0.8784
Ho1 0.7029 0.5000 0.5941
Ho2 0.2971 0.5000 0.4059


No. 8
Entry from Alexandria via LeMat-Bulk: a relaxed PrHo4Zn crystal (PBE-GGA).

Properties
Offset from the most stable computed form ... 0.000 eV/atom
Total energy ... -4.16 eV/atom
E_form ... -9 kJ per mole of atoms

abc: 3.5699 3.5699 13.6996
angles: 90.00 90.00 90.00
Fractional positions:
Ho1 0.0000 0.0000 0.6276
Ho2 0.5000 0.5000 0.8118
Ho3 0.5000 0.5000 0.1882
Ho4 0.0000 0.0000 0.3724
Pr1 0.0000 0.0000 0.0000
Zn1 0.5000 0.5000 0.5000


No. 9
Entry from Alexandria via LeMat-Bulk: a relaxed Pr12Ho3Zn crystal (PBE-GGA).

Properties
Total energy ... -4.51 eV/atom
E_form ... 1 kJ per mole of atoms

abc: 5.1104 5.1104 20.6216
angles: 90.00 90.00 90.00
Fractional positions:
Zn1 0.0000 0.0000 0.0000
Ho1 0.0000 0.0000 0.2457
Ho2 0.0000 0.0000 0.7543
Ho3 0.0000 0.0000 0.5000
Pr1 0.0000 0.5000 0.6274
Pr2 0.5000 0.5000 0.7559
Pr3 0.0000 0.5000 0.8815
Pr4 0.5000 0.5000 0.2441
Pr5 0.5000 0.0000 0.8815
Pr6 0.5000 0.5000 0.0000
Pr7 0.5000 0.0000 0.6274
Pr8 0.5000 0.0000 0.3726
Pr9 0.0000 0.5000 0.3726
Pr10 0.5000 0.5000 0.5000
Pr11 0.0000 0.5000 0.1185
Pr12 0.5000 0.0000 0.1185


No. 10
Entry from Alexandria via LeMat-Bulk: a relaxed PrHo2Zn crystal (PBE-GGA).

Properties
Offset from the most stable computed form ... 0.276 eV/atom
Total energy ... -3.69 eV/atom
E_form ... 11 kJ per mole of atoms

abc: 5.3073 5.3073 5.4663
angles: 60.96 60.96 60.00
Fractional positions:
Pr1 0.5000 0.5000 0.5000
Ho1 0.2583 0.2583 0.2252
Ho2 0.7417 0.7417 0.7748
Zn1 0.0000 0.0000 0.0000


No. 11
Entry from Alexandria via LeMat-Bulk: a relaxed Pr6HoZn2 crystal (PBE-GGA).

Properties
Total energy ... -4.11 eV/atom
E_form ... -13 kJ per mole of atoms

abc: 3.7473 6.7229 11.8621
angles: 76.45 80.91 73.82
Fractional positions:
Pr1 0.3118 0.7834 0.5931
Pr2 0.6883 0.4996 0.1238
Pr3 0.6882 0.2166 0.4069
Pr4 0.3117 0.5004 0.8762
Pr5 0.9710 0.7332 0.3249
Pr6 0.0290 0.2668 0.6751
Zn1 0.6422 0.9061 0.8096
Zn2 0.3578 0.0939 0.1904
Ho1 0.0000 0.0000 0.0000


No. 12
Entry from Alexandria via LeMat-Bulk: a relaxed PrHo2Zn crystal (PBE-GGA).

Properties
Offset from the most stable computed form ... 0.000 eV/atom
Total energy ... -3.97 eV/atom
E_form ... -16 kJ per mole of atoms

abc: 3.5825 3.5825 8.7400
angles: 90.00 90.00 90.00
Fractional positions:
Ho1 0.0000 0.0000 0.7995
Ho2 0.0000 0.0000 0.2005
Pr1 0.5000 0.5000 0.5000
Zn1 0.5000 0.5000 0.0000


No. 13
Entry from Alexandria via LeMat-Bulk: a relaxed PrHoZn crystal (PBE-GGA).

Properties
Offset from the most stable computed form ... 0.000 eV/atom
Total energy ... -3.74 eV/atom
E_form ... -19 kJ per mole of atoms

abc: 3.6443 3.6443 6.7083
angles: 105.76 105.76 90.00
Fractional positions:
Zn1 0.6763 0.6763 0.3526
Pr1 0.0178 0.0178 0.0355
Ho1 0.3059 0.3059 0.6119


No. 14
Entry from Alexandria via LeMat-Bulk: a relaxed Pr2HoZn crystal (PBE-GGA).

Properties
Offset from the most stable computed form ... 0.000 eV/atom
Total energy ... -4.01 eV/atom
E_form ... -15 kJ per mole of atoms

abc: 5.1742 5.1742 9.5045
angles: 105.79 105.79 90.00
Fractional positions:
Ho1 0.1507 0.1507 0.3014
Ho2 0.8493 0.8493 0.6986
Pr1 0.6451 0.6451 0.2902
Pr2 0.3549 0.3549 0.7098
Pr3 0.5000 0.0000 0.0000
Pr4 0.0000 0.5000 0.0000
Zn1 0.2500 0.7500 0.5000
Zn2 0.7500 0.2500 0.5000


No. 15
Entry from Alexandria via LeMat-Bulk: a relaxed PrHo3Zn4 crystal (PBE-GGA).

Properties
Total energy ... -3.28 eV/atom
E_form ... -31 kJ per mole of atoms

abc: 5.0571 7.2513 10.1136
angles: 90.00 90.00 90.00
Fractional positions:
Zn1 0.0003 0.2380 0.7500
Zn2 0.5000 0.2380 0.5000
Zn3 0.5000 0.2380 0.0000
Zn4 0.0003 0.7620 0.7500
Zn5 0.5000 0.7620 0.5000
Zn6 0.9997 0.2380 0.2500
Zn7 0.5000 0.7620 0.0000
Zn8 0.9997 0.7620 0.2500
Ho1 0.5001 0.5000 0.7500
Ho2 0.0000 0.0000 0.5000
Ho3 0.4999 0.5000 0.2500
Ho4 0.5002 0.0000 0.7500
Ho5 0.4998 0.0000 0.2500
Ho6 0.0000 0.0000 0.0000
Pr1 0.0000 0.5000 0.0000
Pr2 0.0000 0.5000 0.5000


No. 16
Entry from Alexandria via LeMat-Bulk: a relaxed Pr2HoZn crystal (PBE-GGA).

Properties
Offset from the most stable computed form ... 0.139 eV/atom
Total energy ... -3.87 eV/atom
E_form ... -1 kJ per mole of atoms

abc: 3.6585 3.6585 10.8303
angles: 80.28 80.28 60.00
Fractional positions:
Pr1 0.2593 0.2593 0.2220
Pr2 0.7407 0.7407 0.7780
Ho1 0.5000 0.5000 0.5000
Zn1 0.0000 0.0000 0.0000


No. 17
Entry from Alexandria via LeMat-Bulk: a relaxed Pr4HoZn crystal (PBE-GGA).

Properties
Offset from the most stable computed form ... 0.000 eV/atom
Total energy ... -4.25 eV/atom
E_form ... -9 kJ per mole of atoms

abc: 3.6919 3.6919 14.0503
angles: 90.00 90.00 90.00
Fractional positions:
Pr1 0.0000 0.0000 0.3678
Pr2 0.0000 0.0000 0.6322
Pr3 0.5000 0.5000 0.1785
Pr4 0.5000 0.5000 0.8215
Zn1 0.5000 0.5000 0.5000
Ho1 0.0000 0.0000 0.0000


No. 18
Entry from Alexandria via LeMat-Bulk: a relaxed PrHo2Zn2 crystal (PBE-GGA).

Properties
Offset from the most stable computed form ... 0.058 eV/atom
Total energy ... -3.49 eV/atom
E_form ... -18 kJ per mole of atoms

abc: 5.2365 6.2697 8.1454
angles: 90.00 108.75 90.00
Fractional positions:
Zn1 0.6297 0.4119 0.2594
Zn2 0.3703 0.9119 0.7406
Zn3 0.7823 0.6370 0.5646
Zn4 0.2177 0.1370 0.4354
Ho1 0.7986 0.1434 0.5972
Ho2 0.0409 0.2657 0.0817
Ho3 0.2014 0.6434 0.4028
Ho4 0.9591 0.7657 0.9183
Pr1 0.4152 0.4076 0.8303
Pr2 0.5848 0.9076 0.1697


No. 19
Entry from Alexandria via LeMat-Bulk: a relaxed Pr4Ho3Zn crystal (PBE-GGA).

Properties
Total energy ... -4.32 eV/atom
E_form ... -5 kJ per mole of atoms

abc: 3.6709 3.6709 18.8287
angles: 90.00 90.00 90.00
Fractional positions:
Pr1 0.0000 0.0000 0.9011
Pr2 0.0000 0.0000 0.0989
Pr3 0.0000 0.0000 0.3672
Pr4 0.0000 0.0000 0.6328
Ho1 0.5000 0.5000 0.2352
Ho2 0.5000 0.5000 0.7648
Ho3 0.5000 0.5000 0.5000
Zn1 0.5000 0.5000 0.0000


No. 20
Entry from Alexandria via LeMat-Bulk: a relaxed Pr3HoZn4 crystal (PBE-GGA).

Properties
Total energy ... -3.31 eV/atom
E_form ... -29 kJ per mole of atoms

abc: 3.6643 3.6643 14.7618
angles: 90.00 90.00 90.00
Fractional positions:
Zn1 0.0000 0.0000 0.8890
Zn2 0.0000 0.0000 0.3740
Zn3 0.0000 0.0000 0.1110
Zn4 0.0000 0.0000 0.6260
Pr1 0.5000 0.5000 0.2435
Pr2 0.5000 0.5000 0.7565
Pr3 0.5000 0.5000 0.5000
Ho1 0.5000 0.5000 0.0000